! NaCuSCl2 (PBE, optimized geometry); values from VASP
! * DOS(E_F): 1.6461 states/eV per atom
! * E_form (uncorrected): -0.52 eV/atom
! * ΔE to the lowest computed polymorph: 0.00 eV per formula unit
&SYSTEM
  ibrav = 0, nat = 5, ntyp = 4
/
ATOMIC_SPECIES
Na 22.99 Na.upf
Cl 35.45 Cl.upf
S 32.06 S.upf
Cu 63.55 Cu.upf
CELL_PARAMETERS angstrom
-4.1008 -2.8670 0.2290
2.2511 -3.0329 2.3398
-1.3535 2.2756 4.2518
ATOMIC_POSITIONS angstrom
Na -1.6016 -1.8122 3.4103
Cl -0.6768 1.1378 2.1259
Cl -2.0504 -1.4335 0.1145
S 1.1256 -1.5165 1.1699
Cu 0.0000 0.0000 0.0000